NaNbBi2Mo | GGA-PBE | optimized geometry

The structure in POSCAR format:
```
NaNbBi2Mo
1.0
5.481 0.000 0.000
0.000 5.618 0.000
0.000 0.000 5.481
Na Mo Bi Nb
1 1 2 1
direct
0.000 0.500 0.000 Na
0.500 0.500 0.500 Mo
0.000 0.000 0.500 Bi
0.500 0.000 0.000 Bi
0.000 0.000 0.000 Nb
```

**Formation enthalpy at 0 K**: 1378 meV per atom